[1]
Density functional theory data (PBE) for a geometry-optimized TbTc structure.

Properties
E_tot	-5.60	eV/atom
energy of formation from the pure elements	1891	meV/atom

Cell lengths 6.0763, 6.0763, 6.0763 Å; angles 90.00, 90.00, 90.00 degrees
Space group F-43m (No. 216)
Asymmetric unit:
Tb (0.0000, 0.0000, 0.0000) x4
Tc (0.2500, 0.2500, 0.7500) x4

***

[2]
Density functional theory data (PBE) for a geometry-optimized Er5BiPt2 structure.

Properties
E_tot	-5.81	eV/atom

Cell lengths 7.7381, 7.7381, 13.6181 Å; angles 90.00, 90.00, 90.00 degrees
Space group I4/mcm (No. 140)
Asymmetric unit:
Er (0.0000, 0.0000, 0.0000) x4
Er (0.1556, 0.3444, 0.1374) x16
Bi (0.0000, 0.0000, 0.2500) x4
Pt (0.1392, 0.3608, 0.5000) x8

***

[3]
Density functional theory data (PBE) for a geometry-optimized TlCuAgIr structure.

Properties
E_tot	-4.06	eV/atom
polymorph energy (0 for the lowest one)	0.00	eV/f.u.

Cell lengths 6.4640, 6.4640, 6.4640 Å; angles 90.00, 90.00, 90.00 degrees
Space group F-43m (No. 216)
Asymmetric unit:
Tl (0.0000, 0.0000, 0.0000) x4
Cu (0.2500, 0.2500, 0.2500) x4
Ag (0.0000, 0.0000, 0.5000) x4
Ir (0.2500, 0.2500, 0.7500) x4

***

[4]
Density functional theory data (PBE) for a geometry-optimized Sm2BO4 structure.

Properties
E_tot	-7.65	eV/atom

Cell lengths 6.1962, 6.1962, 8.7529 Å; angles 90.00, 90.00, 90.00 degrees
Space group I4_1/amd (No. 141, origin choice 2)
Asymmetric unit:
Sm (0.0000, 0.0000, 0.0000) x8
B (0.0000, 0.2500, 0.3750) x4
O (0.0000, 0.0467, 0.2731) x16